# 1
Rb3HgAs | GGA-PBE | relaxed

Output
As for the energy above the most stable polymorph in this dataset: 171.6 meV/atom. The calculation puts the density of states at the Fermi level at 13.14 states/eV per cell. The volume comes out at 59.942 Å³/atom.

Unit cell a=16.357 b=8.125 c=9.021 alpha=90.00 beta=90.00 gamma=90.00
Space group Ima2 (No. 46)
Unique sites:
Rb: 0.054 0.245 0.000
Rb: 0.250 0.750 0.251
Hg: 0.250 0.250 0.251
As: 0.250 0.080 0.001

# 2
Tb6ErTh | GGA-PBE | relaxed

Output
As for the energy above the most stable polymorph in this dataset: 0.0 meV/atom. The calculation puts the density of states at the Fermi level at 12.35 states/eV per cell. The volume comes out at 31.808 Å³/atom.

Unit cell a=5.040 b=5.040 c=10.016 alpha=90.00 beta=90.00 gamma=90.00
Space group P4/mmm (No. 123)
Unique sites:
Tb: 0.000 0.000 0.000
Tb: 0.000 0.000 0.500
Tb: 0.000 0.500 0.249
Er: 0.500 0.500 0.500
Th: 0.500 0.500 0.000

# 3
LaPr2Mg | GGA-PBE | relaxed

Output
As for the energy above the most stable polymorph in this dataset: 84.1 meV/atom. The calculation puts the density of states at the Fermi level at 15.09 states/eV per cell. The volume comes out at 33.995 Å³/atom.

Unit cell a=3.6635 b=3.6635 c=35.0970 alpha=90.00 beta=90.00 gamma=120.00
Space group R3m (No. 160, hexagonal axes)
Unique sites:
La: 0.0000 0.0000 0.0000
Pr: 0.0000 0.0000 0.5783
Pr: 0.0000 0.0000 0.7562
Mg: 0.0000 0.0000 0.1671

# 4
YHoCdCo | GGA-PBE | relaxed

Output
As for the energy above the most stable polymorph in this dataset: 111.5 meV/atom. The calculation puts the density of states at the Fermi level at 10.78 states/eV per cell. The volume comes out at 22.475 Å³/atom.

Unit cell a=7.111 b=7.111 c=7.111 alpha=90.00 beta=90.00 gamma=90.00
Space group F-43m (No. 216)
Unique sites:
Y: 0.000 0.000 0.000
Ho: 0.000 0.000 0.500
Cd: 0.250 0.250 0.250
Co: 0.250 0.250 0.750

# 5
In2FeSb | GGA-PBE | relaxed

Output
For the formation energy from raw total energies, the calculation gives 0.66 eV per formula unit. The calculation puts the density of states at the Fermi level at 5.68 states/eV per cell. The volume comes out at 22.558 Å³/atom.

Unit cell a=3.265 b=4.269 c=12.946 alpha=90.00 beta=90.00 gamma=90.00
Space group Amm2 (No. 38)
Unique sites:
In: 0.000 0.000 0.000
In: 0.500 0.000 0.326
Fe: 0.500 0.000 0.530
Sb: 0.000 0.000 0.688

# 6
CsTlHgSe3 | GGA-PBE | relaxed

Output
For the formation energy from raw total energies, the calculation gives -2.79 eV per formula unit. The calculation puts the density of states at the Fermi level at 0.71 states/eV per cell. The volume comes out at 35.495 Å³/atom.

Unit cell a=8.339 b=4.192 c=12.864 alpha=90.00 beta=108.70 gamma=90.00
Space group P2_1/m (No. 11)
Unique sites:
Cs: 0.201 0.250 0.186
Tl: 0.174 0.750 0.605
Hg: 0.381 0.250 0.882
Se: 0.061 0.750 0.380
Se: 0.264 0.750 0.966
Se: 0.413 0.250 0.682

# 7
SiSbTe2C | GGA-PBE | relaxed

Output
As for the energy above the most stable polymorph in this dataset: 0.0 meV/atom. For the formation energy from raw total energies, the calculation gives 5.75 eV per formula unit. The calculation puts the density of states at the Fermi level at 3.47 states/eV per cell. The volume comes out at 21.824 Å³/atom.

Unit cell a=4.807 b=4.807 c=4.723 alpha=90.00 beta=90.00 gamma=90.00
Space group P4/mmm (No. 123)
Unique sites:
Si: 0.000 0.000 0.000
Sb: 0.500 0.500 0.000
Te: 0.000 0.500 0.500
C: 0.500 0.500 0.500

# 8
Tl3Cd | GGA-PBE | relaxed

Output
The calculation puts the density of states at the Fermi level at 1.13 states/eV per cell. Its calculated total energy is -7.83 eV for the cell shown. The volume comes out at 28.857 Å³/atom.

Unit cell a=4.869 b=4.869 c=4.869 alpha=90.00 beta=90.00 gamma=90.00
Space group Pm-3m (No. 221)
Unique sites:
Tl: 0.000 0.000 0.500
Cd: 0.500 0.500 0.500

# 9
Nd3Sm4Ho | GGA-PBE | relaxed

Output
As for the energy above the most stable polymorph in this dataset: 0.0 meV/atom. The calculation puts the density of states at the Fermi level at 28.05 states/eV per cell. The volume comes out at 34.329 Å³/atom.

Unit cell a=11.721 b=7.365 c=6.363 alpha=90.00 beta=90.00 gamma=90.00
Space group Pmn2_1 (No. 31)
Unique sites:
Nd: 0.000 0.126 0.000
Nd: 0.250 0.125 0.333
Sm: 0.000 0.375 0.501
Sm: 0.000 0.624 0.999
Sm: 0.248 0.625 0.333
Ho: 0.000 0.874 0.499